# 1
Er2MnNi | PBE-GGA | optimized geometry

The structure belongs to space group P4/mmm (No. 123); the cell edges are 3.3777, 3.3777 and 6.9335 Å and the angles 90.00°, 90.00° and 90.00°. The inequivalent atoms are Er at (0.0000, 0.0000, 0.2381), Mn at (0.5000, 0.5000, 0.5000) and Ni at (0.5000, 0.5000, 0.0000).

As for the density of states at the Fermi level: 4.24 states/eV/cell. The calculation puts the energy of formation at -12 kJ/mol of atoms.

***

# 2
Er2MnNi3P4 | PBE-GGA | optimized geometry

The structure belongs to space group P-4m2 (No. 115); the cell edges are 3.9244, 3.9244 and 9.1898 Å and the angles 90.00°, 90.00° and 90.00°. The inequivalent atoms are Er at (0.0000, 0.5000, 0.2428), Mn at (0.0000, 0.0000, 0.5000), Ni at (0.0000, 0.5000, 0.8793), Ni at (0.5000, 0.5000, 0.5000), P at (0.0000, 0.0000, 0.0000), P at (0.0000, 0.5000, 0.6331) and P at (0.5000, 0.5000, 0.0000).

As for the density of states at the Fermi level: 4.50 states/eV/cell. The calculation puts the energy of formation at -90 kJ/mol of atoms.

***

# 3
ErMnNiP2 | PBE-GGA | optimized geometry

The structure belongs to space group I-4m2 (No. 119); the cell edges are 3.7981, 3.7981 and 9.6579 Å and the angles 90.00°, 90.00° and 90.00°. The inequivalent atoms are Er at (0.0000, 0.0000, 0.0000), Mn at (0.0000, 0.5000, 0.2500), Ni at (0.0000, 0.5000, 0.7500) and P at (0.0000, 0.0000, 0.3758).

As for the density of states at the Fermi level: 5.78 states/eV/cell. The calculation puts the energy of formation at -89 kJ/mol of atoms.

***

# 4
Er2MnNi4P3 | PBE-GGA | optimized geometry

The structure belongs to space group P-4m2 (No. 115); the cell edges are 3.8343, 3.8343 and 9.7213 Å and the angles 90.00°, 90.00° and 90.00°. The inequivalent atoms are Er at (0.0000, 0.5000, 0.2407), Mn at (0.0000, 0.0000, 0.5000), Ni at (0.0000, 0.0000, 0.0000), Ni at (0.0000, 0.5000, 0.6399), Ni at (0.5000, 0.5000, 0.0000), P at (0.0000, 0.5000, 0.8676) and P at (0.5000, 0.5000, 0.5000).

As for the density of states at the Fermi level: 5.46 states/eV/cell. The calculation puts the energy of formation at -84 kJ/mol of atoms.

***

# 5
ErMnNiRh | PBE-GGA | optimized geometry

The structure belongs to space group F-43m (No. 216); the cell edges are 6.3877, 6.3877 and 6.3877 Å and the angles 90.00°, 90.00° and 90.00°. The inequivalent atoms are Er at (0.0000, 0.0000, 0.0000), Mn at (0.0000, 0.0000, 0.5000), Ni at (0.2500, 0.2500, 0.7500) and Rh at (0.2500, 0.2500, 0.2500).

As for the density of states at the Fermi level: 11.29 states/eV/cell. The calculation puts the energy of formation at -33 kJ/mol of atoms.

***

# 6
ErMnNiRu | PBE-GGA | optimized geometry

The structure belongs to space group F-43m (No. 216); the cell edges are 6.3403, 6.3403 and 6.3403 Å and the angles 90.00°, 90.00° and 90.00°. The inequivalent atoms are Er at (0.0000, 0.0000, 0.0000), Mn at (0.0000, 0.0000, 0.5000), Ni at (0.2500, 0.2500, 0.7500) and Ru at (0.2500, 0.2500, 0.2500).

As for the density of states at the Fermi level: 8.76 states/eV/cell. The calculation puts the energy of formation at -10 kJ/mol of atoms.

***

# 7
Er2MnSi3Ni12 | PBE-GGA | optimized geometry

The structure belongs to space group R-3m (No. 166, hexagonal axes); the cell edges are 6.0200, 6.0200 and 24.6297 Å and the angles 90.00°, 90.00° and 120.00°. The inequivalent atoms are Er at (0.0000, 0.0000, 0.1489), Mn at (0.0000, 0.0000, 0.5000), Si at (0.0000, 0.5000, 0.0000), Ni at (0.0436, 0.5218, 0.0963) and Ni at (0.0652, 0.5326, 0.6220).

The calculation puts the formation energy from raw total energies at -1.29 eV per formula unit. As for the density of states at the Fermi level: 40.91 states/eV/cell.

***

# 8
TbErMnNi | PBE-GGA | optimized geometry

The structure belongs to space group F-43m (No. 216); the cell edges are 6.8908, 6.8908 and 6.8908 Å and the angles 90.00°, 90.00° and 90.00°. The inequivalent atoms are Tb at (0.0000, 0.0000, 0.0000), Er at (0.0000, 0.0000, 0.5000), Mn at (0.2500, 0.2500, 0.7500) and Ni at (0.2500, 0.2500, 0.2500).

As for the density of states at the Fermi level: 20.39 states/eV/cell. The calculation puts the energy of formation at -2 kJ/mol of atoms.

***

| no. | M_tot (μB/cell) |
| --- | --- |
| 1 | 2.83 |
| 2 | 0.00 |
| 3 | 0.28 |
| 4 | 3.77 |
| 5 | 17.90 |
| 6 | 17.30 |
| 7 | 12.13 |
| 8 | 13.49 |